Entry 1:
{"formula": "Al2CdS4", "functional": "PBEsol", "state": "optimized geometry", "e_tot_ev_per_atom": -4.84, "magnetic_moment_mub_per_cell": 0.00, "density_g_cm3": 3.64, "e_form_raw_ev_per_fu": -6.96, "lattice": [[7.247, 0.000, 0.000], [3.623, 6.276, 0.000], [3.623, 2.092, 5.917]], "species": ["S", "S", "S", "S", "S", "S", "S", "S", "Al", "Al", "Al", "Al", "Cd", "Cd"], "frac_coords": [[0.389, 0.389, 0.389], [0.418, 0.861, 0.861], [0.832, 0.389, 0.389], [0.861, 0.861, 0.861], [0.861, 0.861, 0.418], [0.861, 0.418, 0.861], [0.389, 0.389, 0.832], [0.389, 0.832, 0.389], [0.625, 0.125, 0.625], [0.625, 0.625, 0.125], [0.125, 0.625, 0.625], [0.625, 0.625, 0.625], [0.000, 0.000, 0.000], [0.250, 0.250, 0.250]]}


Entry 2:
{"formula": "AlCd2S", "functional": "PBEsol", "state": "optimized geometry", "e_tot_ev_per_atom": -2.44, "magnetic_moment_mub_per_cell": 0.00, "density_g_cm3": 5.77, "e_form_raw_ev_per_fu": 1.11, "lattice": [[4.870, 0.000, 0.000], [2.435, 4.217, 0.000], [2.435, 1.406, 3.976]], "species": ["S", "Al", "Cd", "Cd"], "frac_coords": [[0.500, 0.500, 0.500], [0.000, 0.000, 0.000], [0.250, 0.250, 0.250], [0.750, 0.750, 0.750]]}


Entry 3:
{"formula": "Al2CdSb", "functional": "PBEsol", "state": "optimized geometry", "e_tot_ev_per_atom": -3.26, "magnetic_moment_mub_per_cell": 0.00, "polymorph_energy_mev_per_atom": 38, "density_g_cm3": 5.66, "e_form_raw_ev_per_fu": 0.90, "lattice": [[-0.180, -1.486, 4.695], [1.195, -4.636, 1.164], [4.172, -0.927, 2.452]], "species": ["Sb", "Al", "Al", "Cd"], "frac_coords": [[0.500, 0.500, 0.500], [0.250, 0.250, 0.250], [0.750, 0.750, 0.750], [0.000, 0.000, 0.000]]}


Entry 4:
{"formula": "Al2CdSb", "functional": "PBEsol", "state": "optimized geometry", "e_tot_ev_per_atom": -3.30, "magnetic_moment_mub_per_cell": 0.00, "polymorph_energy_mev_per_atom": 0, "density_g_cm3": 5.71, "e_form_raw_ev_per_fu": 0.75, "lattice": [[4.596, 0.000, 0.000], [0.000, 3.895, 0.000], [0.000, 0.000, 4.680]], "species": ["Sb", "Al", "Al", "Cd"], "frac_coords": [[0.000, 0.500, 0.500], [0.000, 0.000, 0.000], [0.500, 0.000, 0.500], [0.500, 0.500, 0.000]]}


Entry 5:
{"formula": "AlCdSb2", "functional": "PBEsol", "state": "optimized geometry", "e_tot_ev_per_atom": -3.42, "magnetic_moment_mub_per_cell": 0.00, "polymorph_energy_mev_per_atom": 68, "density_g_cm3": 6.85, "e_form_raw_ev_per_fu": 0.74, "lattice": [[4.930, 0.000, 0.000], [0.000, 3.903, 0.000], [0.000, 0.000, 4.826]], "species": ["Sb", "Sb", "Al", "Cd"], "frac_coords": [[0.000, 0.000, 0.000], [0.500, 0.000, 0.500], [0.500, 0.500, 0.000], [0.000, 0.500, 0.500]]}


Entry 6:
{"formula": "AlCdSb2", "functional": "PBEsol", "state": "optimized geometry", "e_tot_ev_per_atom": -3.48, "magnetic_moment_mub_per_cell": 0.00, "polymorph_energy_mev_per_atom": 0, "density_g_cm3": 6.45, "e_form_raw_ev_per_fu": 0.47, "lattice": [[3.048, 0.000, 0.067], [0.000, 4.013, 0.000], [-0.881, 0.000, 8.044]], "species": ["Sb", "Sb", "Al", "Cd"], "frac_coords": [[0.242, 0.000, 0.265], [0.758, 0.000, 0.735], [0.500, 0.500, 0.500], [0.000, 0.500, 0.000]]}


Entry 7:
{"formula": "Al2CdSb2", "functional": "PBEsol", "state": "optimized geometry", "e_tot_ev_per_atom": -3.59, "magnetic_moment_mub_per_cell": 0.00, "density_g_cm3": 5.48, "e_form_raw_ev_per_fu": 0.56, "lattice": [[-3.080, 2.709, -0.121], [-1.898, -2.284, -2.832], [-0.994, -3.934, 6.812]], "species": ["Sb", "Sb", "Al", "Al", "Cd"], "frac_coords": [[0.378, 0.378, 0.756], [0.622, 0.622, 0.244], [0.250, 0.750, 0.500], [0.750, 0.250, 0.500], [0.000, 0.000, 0.000]]}


Entry 8:
{"formula": "AlCd3Sb", "functional": "PBEsol", "state": "optimized geometry", "e_tot_ev_per_atom": -1.73, "magnetic_moment_mub_per_cell": 0.00, "polymorph_energy_mev_per_atom": 196, "density_g_cm3": 4.86, "e_form_raw_ev_per_fu": 3.57, "lattice": [[-1.318, -5.337, 0.024], [5.335, -1.317, 0.185], [-0.174, 0.067, 5.495]], "species": ["Sb", "Al", "Cd", "Cd", "Cd"], "frac_coords": [[0.000, 0.000, 0.000], [0.500, 0.500, 0.500], [0.000, 0.500, 0.000], [0.000, 0.000, 0.500], [0.500, 0.000, 0.000]]}


Entry 9:
{"formula": "AlCdSb", "functional": "PBEsol", "state": "optimized geometry", "e_tot_ev_per_atom": -3.09, "magnetic_moment_mub_per_cell": 0.00, "density_g_cm3": 6.42, "e_form_raw_ev_per_fu": 0.59, "lattice": [[3.000, 0.000, 0.000], [0.000, 5.097, 0.000], [0.000, -2.549, 4.414]], "species": ["Sb", "Al", "Cd"], "frac_coords": [[0.167, 0.333, 0.667], [0.166, 0.000, 0.000], [0.666, 0.667, 0.333]]}


Entry 10:
{"formula": "AlCdSb2", "functional": "PBEsol", "state": "optimized geometry", "e_tot_ev_per_atom": -3.47, "magnetic_moment_mub_per_cell": 0.00, "polymorph_energy_mev_per_atom": 15, "density_g_cm3": 6.60, "e_form_raw_ev_per_fu": 0.53, "lattice": [[-1.865, 1.001, 3.246], [-3.456, -2.160, -1.319], [4.650, -4.202, 1.655]], "species": ["Sb", "Sb", "Al", "Cd"], "frac_coords": [[0.813, 0.813, 0.626], [0.187, 0.187, 0.374], [0.500, 0.000, 0.000], [0.000, 0.500, 0.000]]}


Entry 11:
{"formula": "AlCd3Sb", "functional": "PBEsol", "state": "optimized geometry", "e_tot_ev_per_atom": -1.93, "magnetic_moment_mub_per_cell": 0.00, "polymorph_energy_mev_per_atom": 0, "density_g_cm3": 6.08, "e_form_raw_ev_per_fu": 2.59, "lattice": [[-4.695, -1.625, 1.165], [-0.391, -2.169, -4.602], [1.960, -4.323, 1.871]], "species": ["Sb", "Al", "Cd", "Cd", "Cd"], "frac_coords": [[0.500, 0.500, 0.500], [0.000, 0.000, 0.000], [0.000, 0.500, 0.000], [0.000, 0.000, 0.500], [0.500, 0.000, 0.000]]}


Entry 12:
{"formula": "AlCdSb2", "functional": "PBEsol", "state": "optimized geometry", "e_tot_ev_per_atom": -3.41, "magnetic_moment_mub_per_cell": 0.00, "polymorph_energy_mev_per_atom": 74, "density_g_cm3": 6.86, "e_form_raw_ev_per_fu": 0.77, "lattice": [[-2.867, -0.086, 4.192], [-3.414, -3.701, 0.666], [0.775, -3.565, 3.534]], "species": ["Sb", "Sb", "Al", "Cd"], "frac_coords": [[0.250, 0.250, 0.250], [0.750, 0.750, 0.750], [0.000, 0.000, 0.000], [0.500, 0.500, 0.500]]}


Entry 13:
{"formula": "Sc2AlCd", "functional": "PBEsol", "state": "optimized geometry", "e_tot_ev_per_atom": -5.01, "formation_enthalpy_0k_ev_per_atom": -0.390, "magnetic_moment_mub_per_cell": 0.00, "polymorph_energy_mev_per_atom": 8, "density_g_cm3": 4.75, "lattice": [[3.405, 0.000, 0.000], [0.000, 4.851, 0.000], [0.000, 0.000, 4.849]], "species": ["Sc", "Sc", "Al", "Cd"], "frac_coords": [[0.000, 0.000, 0.123], [0.000, 0.500, 0.627], [0.500, 0.000, 0.623], [0.500, 0.500, 0.128]]}


Entry 14:
{"formula": "ScAlCd2", "functional": "PBEsol", "state": "optimized geometry", "e_tot_ev_per_atom": -3.38, "formation_enthalpy_0k_ev_per_atom": -0.105, "magnetic_moment_mub_per_cell": 0.00, "density_g_cm3": 6.15, "lattice": [[3.065, 0.000, 0.000], [-1.533, 4.920, 0.004], [0.000, -1.226, 5.309]], "species": ["Sc", "Al", "Cd", "Cd"], "frac_coords": [[0.492, 0.984, 0.489], [0.745, 0.491, 0.251], [0.009, 0.018, 0.002], [0.254, 0.507, 0.758]]}


Entry 15:
{"formula": "Sc2AlCd", "functional": "PBEsol", "state": "optimized geometry", "e_tot_ev_per_atom": -5.01, "formation_enthalpy_0k_ev_per_atom": -0.390, "magnetic_moment_mub_per_cell": 0.00, "polymorph_energy_mev_per_atom": 7, "density_g_cm3": 4.75, "lattice": [[4.839, 0.000, 0.000], [2.419, 4.190, 0.000], [2.419, 1.397, 3.951]], "species": ["Sc", "Sc", "Al", "Cd"], "frac_coords": [[0.750, 0.750, 0.750], [0.250, 0.250, 0.250], [0.000, 0.000, 0.000], [0.500, 0.500, 0.500]]}